# HfPtRh

Crystalline HfPtRh at its relaxed geometry (PBE, Alexandria via LeMat-Bulk).

Unit cell a=2.9793 b=4.4664 c=4.4664 alpha=120.00 beta=90.00 gamma=90.00
Sites, in units of the cell vectors:
Hf 0.6669 0.6667 0.3333
Rh 0.1655 0.3333 0.6667
Pt 0.1676 0.0000 0.0000

Density of states at the Fermi level (states/eV per cell): 4.535
Energy above the most stable polymorph in this dataset (eV/f.u.): 1.15
Space group: P3m1 (156)
DFT formation energy (eV per atom): -0.582